[1]
BaY | GGA-PBE | optimized geometry

Geometry as POSCAR:
```
BaY
1.0
-3.805 -0.233 0.724
-0.735 -4.461 -5.298
3.073 -14.245 11.567
Ba Y
6 6
Cartesian
2.123 -14.524 6.488 Ba
-0.152 -11.421 5.926 Ba
-1.176 -6.672 2.071 Ba
0.075 -5.027 -1.223 Ba
1.099 -9.778 2.630 Ba
-2.200 -1.922 -1.783 Ba
1.368 -13.622 2.812 Y
0.603 -12.323 9.603 Y
-1.446 -2.826 1.891 Y
0.344 -8.874 -1.044 Y
-0.680 -4.123 -4.897 Y
-0.422 -7.576 5.745 Y
```

Summary:
final energy: -3.940 eV per atom
ΔH_f (0 K): 0.25 eV/atom
calculated volume: 83.80 Å³/f.u.
crystal system: orthorhombic


[2]
Ni4PPd2 | GGA-PBE | optimized geometry

Geometry as POSCAR:
```
Ni4PPd2
1.0
4.137 0.000 0.000
0.000 4.137 0.000
2.068 2.068 6.105
Ni Pd P
4 2 1
Cartesian
2.068 2.068 4.021 Ni
4.137 4.137 2.084 Ni
0.000 2.068 0.000 Ni
2.068 0.000 0.000 Ni
2.068 2.068 1.594 Pd
4.137 4.137 4.510 Pd
0.000 0.000 0.000 P
```

Summary:
final energy: -5.264 eV per atom
ΔH_f (0 K): 0.30 eV/atom
calculated volume: 104.46 Å³/f.u.
crystal system: tetragonal


[3]
Tb2CeO | GGA-PBE | optimized geometry

Geometry as POSCAR:
```
Tb2CeO
1.0
-0.400 0.779 3.293
1.156 -2.119 2.405
8.508 4.004 1.850
Tb O Ce
2 1 1
Cartesian
5.597 2.434 1.867 Tb
3.668 0.230 5.680 Tb
4.632 1.332 3.773 O
0.000 0.000 0.000 Ce
```

Summary:
final energy: -6.215 eV per atom
calculated volume: 94.29 Å³/f.u.
crystal system: trigonal
energy relative to the elements, uncorrected: -1177 meV/atom


The highest final energy belongs to which entry? BaY